# 1
Computed, not measured: an optimized crystal structure of SrGa2C at the PBE level of DFT.

Structure (extended XYZ):
```
8
Lattice="-5.347 -2.888 2.519 -2.314 -1.014 -6.074 -1.852 -5.723 -1.901" Properties=species:S:1:pos:R:3 pbc="T T T"
Ga -7.740 -7.552 -3.612
Ga -3.392 -2.865 -3.573
Ga -3.280 -2.923 -0.044
Ga -4.614 -5.910 -3.684
C -3.831 -1.951 -1.778
C -3.998 -4.344 -4.877
Sr 0.000 0.000 0.000
Sr -5.515 -5.281 -0.580
```

Computed properties:
Formation energy = 0.49 eV per atom
Space-group type = I-42d

# 2
Computed, not measured: an optimized crystal structure of SrGaTc2C at the PBE level of DFT.

Structure (extended XYZ):
```
5
Lattice="-2.302 -1.265 4.120 3.480 -1.492 1.486 1.049 4.366 1.927" Properties=species:S:1:pos:R:3 pbc="T T T"
C 1.740 -0.746 0.743
Tc 0.525 2.183 0.964
Tc -1.151 -0.633 2.060
Ga 0.000 0.000 0.000
Sr 1.114 0.804 3.767
```

Computed properties:
Formation energy = 1.69 eV per atom
Space-group type = P4/mmm